Version w
## Ti2V2Os (PBE)

Data for a relaxed Ti2V2Os crystal.

Computed properties:
magnetization: 0.00 μB/f.u.
D(E_F): 5.1 states/eV/f.u.

a = 6.7484 Å, b = 6.7484 Å, c = 3.3140 Å
α = 90.00°, β = 90.00°, γ = 90.00°
Fractional positions:
Ti 0.1426 0.3574 0.0000
V 0.3385 0.1615 0.5000
V 0.6615 0.8385 0.5000
V 0.8385 0.3385 0.5000
Ti 0.6426 0.1426 0.0000
Ti 0.8574 0.6426 0.0000
V 0.1615 0.6615 0.5000
Os 0.5000 0.5000 0.0000
Ti 0.3574 0.8574 0.0000
Os 0.0000 0.0000 0.0000

***

Version x
## Ti2V2Os (PBE)

Data for a relaxed Ti2V2Os crystal.

Computed properties:
magnetization: 0.00 μB/f.u.
D(E_F): 6.1 states/eV/f.u.

a = 6.2302 Å, b = 6.2302 Å, c = 4.0854 Å
α = 90.00°, β = 90.00°, γ = 90.00°
Fractional positions:
Ti 0.1660 0.6660 0.5000
Os 0.5000 0.5000 0.0000
V 0.1428 0.3572 0.0000
V 0.6428 0.1428 0.0000
Ti 0.6660 0.8340 0.5000
V 0.8572 0.6428 0.0000
Ti 0.8340 0.3340 0.5000
V 0.3572 0.8572 0.0000
Os 0.0000 0.0000 0.0000
Ti 0.3340 0.1660 0.5000

***

Version y
## Ti2V2Os (PBE)

Data for a relaxed Ti2V2Os crystal.

Computed properties:
magnetization: 0.00 μB/f.u.
D(E_F): 5.9 states/eV/f.u.

a = 4.2200 Å, b = 5.6061 Å, c = 6.7665 Å
α = 104.58°, β = 108.17°, γ = 90.00°
Fractional positions:
Os 0.9999 0.2500 0.0000
Ti 0.6025 0.1576 0.2051
V 0.7996 0.4657 0.5994
Ti 0.3974 0.3424 0.7949
V 0.2002 0.0343 0.4006
V 0.2004 0.5343 0.4006
V 0.7998 0.9657 0.5994
Os 0.0001 0.7500 0.0000
Ti 0.6026 0.6576 0.2051
Ti 0.3975 0.8424 0.7949

***

The most stable structure shown above is version y; the least stable is version w.